[1]
NaBe2PH2: relaxed, PBE.

Total energy = -3.793 eV/atom
Total magnetization = 0.000 μB/cell

Cell: 4.3057 6.7068 6.3684 Å, 119.53 90.00 90.00°
Last column: nearest neighbours and their distance in Å.
Atoms (fractional coordinates):
Be 0.9996 0.8715 0.7916  2 H 1.51
Be 0.0004 0.1285 0.2084  2 H 1.51
Be 0.5004 0.8715 0.7916  2 H 1.51
Be 0.4996 0.1285 0.2084  2 H 1.51
Na 0.2500 0.6859 0.2643  1 H 2.42
Na 0.7500 0.3141 0.7357  1 H 2.42
H 0.7500 0.3001 0.3494  2 Be 1.51
H 0.7500 0.8572 0.6186  2 Be 1.51
H 0.2500 0.6999 0.6506  2 Be 1.51
H 0.2500 0.1428 0.3814  2 Be 1.51
P 0.2500 0.1946 0.9542  4 Be 2.16-2.17
P 0.7500 0.8054 0.0458  4 Be 2.16-2.17

[2]
Na2Be2P2H: relaxed, PBE.

Total energy = -3.712 eV/atom
Total magnetization = 0.000 μB/cell

Cell: 3.7313 5.3241 6.0308 Å, 74.69 71.98 69.49°
Last column: nearest neighbours and their distance in Å.
Atoms (fractional coordinates):
P 0.1917 0.3763 0.2403  3 Be 2.17-2.23
P 0.8083 0.6237 0.7597  3 Be 2.17-2.23
Be 0.8184 0.2897 0.0735  1 H 1.57
Be 0.1816 0.7103 0.9265  1 H 1.57
H 0.0000 0.0000 0.0000  2 Be 1.57
Na 0.5609 0.2020 0.6763  2 H 2.70, 3 P 2.84-2.91
Na 0.4391 0.7980 0.3237  2 H 2.70, 3 P 2.84-2.91

[3]
NaPmBe2H8: relaxed, PBE.

Total energy = -3.649 eV/atom
Total magnetization = 0.000 μB/cell

Cell: 4.4736 4.4736 7.2236 Å, 90.00 90.00 120.00°
Last column: nearest neighbours and their distance in Å.
Atoms (fractional coordinates):
H 0.3341 0.2645 0.2608  1 Be 1.41
H 0.9304 0.6659 0.2608  1 Be 1.41
H 0.6659 0.7355 0.7392  1 Be 1.41
H 0.2645 0.9304 0.7392  1 Be 1.41
H 0.0696 0.3341 0.7392  1 Be 1.41
H 0.3333 0.6667 0.9922  1 Be 1.47
H 0.7355 0.0696 0.2608  1 Be 1.41
H 0.6667 0.3333 0.0078  1 Be 1.47
Be 0.3333 0.6667 0.7882  4 H 1.41-1.47
Be 0.6667 0.3333 0.2118  4 H 1.41-1.47
Na 0.0000 0.0000 0.5000  6 H 2.20
Pm 0.0000 0.0000 0.0000  12 H 2.33-2.58

[4]
NaPrBe2H8: relaxed, PBE.

Total energy = -3.650 eV/atom
Total magnetization = 0.000 μB/cell

Cell: 4.5026 4.5026 7.2823 Å, 90.00 90.00 120.00°
Last column: nearest neighbours and their distance in Å.
Atoms (fractional coordinates):
H 0.3333 0.6667 0.9865  1 Be 1.48
H 0.3377 0.2727 0.2641  1 Be 1.41
H 0.0650 0.3377 0.7359  1 Be 1.41
H 0.2727 0.9350 0.7359  1 Be 1.41
H 0.7273 0.0650 0.2641  1 Be 1.41
H 0.6623 0.7273 0.7359  1 Be 1.41
H 0.9350 0.6623 0.2641  1 Be 1.41
H 0.6667 0.3333 0.0135  1 Be 1.48
Na 0.0000 0.0000 0.5000  6 H 2.21
Pr 0.0000 0.0000 0.0000  12 H 2.38-2.60
Be 0.3333 0.6667 0.7834  4 H 1.41-1.48
Be 0.6667 0.3333 0.2166  4 H 1.41-1.48

[5]
NaPuBe2H8: relaxed, PBE.

Total energy = -4.371 eV/atom
Total magnetization = 5.000 μB/cell

Cell: 4.3730 4.3730 7.1856 Å, 90.00 90.00 120.00°
Last column: nearest neighbours and their distance in Å.
Atoms (fractional coordinates):
H 0.3333 0.6667 0.9993  1 Be 1.48
H 0.0581 0.3272 0.7444  1 Be 1.41
H 0.7310 0.0581 0.2556  1 Be 1.41
H 0.9419 0.6728 0.2556  1 Be 1.41
H 0.3272 0.2690 0.2556  1 Be 1.41
H 0.6728 0.7310 0.7444  1 Be 1.41
H 0.2690 0.9419 0.7444  1 Be 1.41
H 0.6667 0.3333 0.0007  1 Be 1.48
Pu 0.0000 0.0000 0.0000  12 H 2.26-2.52
Be 0.3333 0.6667 0.7936  4 H 1.41-1.48
Be 0.6667 0.3333 0.2064  4 H 1.41-1.48
Na 0.0000 0.0000 0.5000  6 H 2.20

[6]
NaBeSn2H: relaxed, PBE.

Total energy = -2.858 eV/atom
Total magnetization = 0.000 μB/cell

Cell: 4.6464 4.2602 4.6464 Å, 90.00 90.00 90.00°
Last column: nearest neighbours and their distance in Å.
Atoms (fractional coordinates):
Be 0.5000 0.5000 0.5000  8 Sn 3.15, 4 Na 3.29
H 0.0000 0.0000 0.0000  2 Na 2.13, 4 Sn 2.32
Sn 0.5000 0.0000 0.0000  2 H 2.32
Sn 0.0000 0.0000 0.5000  2 H 2.32
Na 0.0000 0.5000 0.0000  2 H 2.13

[7]
NaSr2BeH: relaxed, PBE.

Total energy = -2.115 eV/atom
Total magnetization = 0.000 μB/cell

Cell: 5.5581 4.0928 5.5581 Å, 90.00 90.00 90.00°
Last column: nearest neighbours and their distance in Å.
Atoms (fractional coordinates):
H 0.0000 0.0000 0.0000  2 Be 2.05
Sr 0.0000 0.0000 0.5000  2 H 2.78
Sr 0.5000 0.0000 0.0000  2 H 2.78
Be 0.0000 0.5000 0.0000  2 H 2.05
Na 0.5000 0.5000 0.5000  8 Sr 3.45

[8]
NaTa2BeH: relaxed, PBE.

Total magnetization = 0.000 μB/cell
ΔE to the lowest computed polymorph = 0.00 kJ per mole of atoms

Cell: 4.0951 4.1079 4.0951 Å, 90.00 90.00 90.00°
Last column: nearest neighbours and their distance in Å.
Atoms (fractional coordinates):
Be 0.0000 0.5000 0.0000  2 H 2.05
Ta 0.5000 0.0000 0.0000  2 H 2.05
Ta 0.0000 0.0000 0.5000  2 H 2.05
Na 0.5000 0.5000 0.5000  4 Be 2.90, 8 Ta 2.90
H 0.0000 0.0000 0.0000  4 Ta 2.05, 2 Be 2.05

[9]
NaTa2BeH: relaxed, PBE.

Total magnetization = 0.000 μB/cell
ΔE to the lowest computed polymorph = 206.47 kJ per mole of atoms

Cell: 4.7760 3.9391 4.7760 Å, 90.00 90.00 90.00°
Last column: nearest neighbours and their distance in Å.
Atoms (fractional coordinates):
H 0.5000 0.5000 0.5000  8 Ta 3.10, 4 Be 3.38
Ta 0.5000 0.0000 0.0000  2 Na 2.39
Ta 0.0000 0.0000 0.5000  2 Na 2.39
Na 0.0000 0.0000 0.0000  2 Be 1.97
Be 0.0000 0.5000 0.0000  2 Na 1.97

[10]
NaBe2TlH: relaxed, PBE.

Total energy = -2.130 eV/atom
Total magnetization = 0.000 μB/cell

Cell: 3.9352 4.9703 3.9352 Å, 90.00 90.00 90.00°
Last column: nearest neighbours and their distance in Å.
Atoms (fractional coordinates):
H 0.0000 0.0000 0.0000  4 Be 1.97
Tl 0.0000 0.5000 0.0000  2 H 2.49, 4 Na 2.78
Be 0.0000 0.0000 0.5000  2 H 1.97
Be 0.5000 0.0000 0.0000  2 H 1.97
Na 0.5000 0.5000 0.5000  4 Tl 2.78

[11]
NaBeZn2H: relaxed, PBE.

Total energy = -1.609 eV/atom
Total magnetization = 0.000 μB/cell

Cell: 4.2921 5.5667 4.2921 Å, 90.00 90.00 90.00°
Last column: nearest neighbours and their distance in Å.
Atoms (fractional coordinates):
Be 0.0000 0.0000 0.0000  4 Zn 2.15
H 0.5000 0.5000 0.5000  4 Na 3.03
Zn 0.5000 0.0000 0.0000  2 Be 2.15
Zn 0.0000 0.0000 0.5000  2 Be 2.15
Na 0.0000 0.5000 0.0000  2 Be 2.78, 4 H 3.03

[12]
BeNb2H: relaxed, PBE.

Total magnetization = 0.000 μB/cell
ΔE to the lowest computed polymorph = 52.57 kJ per mole of atoms

Cell: 3.7364 3.7364 6.0480 Å, 72.01 72.01 60.00°
Last column: nearest neighbours and their distance in Å.
Atoms (fractional coordinates):
Nb 0.1095 0.1095 0.6715  1 H 1.86
Nb 0.8905 0.8905 0.3285  1 H 1.86
H 0.0000 0.0000 0.0000  2 Nb 1.86
Be 0.5000 0.5000 0.5000  6 Nb 2.36

[13]
BeNb2H: relaxed, PBE.

Total magnetization = 0.000 μB/cell
ΔE to the lowest computed polymorph = 22.81 kJ per mole of atoms

Cell: 4.1155 4.1155 4.1155 Å, 60.00 60.00 60.00°
Last column: nearest neighbours and their distance in Å.
Atoms (fractional coordinates):
H 0.0000 0.0000 0.0000  8 Nb 2.52
Be 0.5000 0.5000 0.5000  8 Nb 2.52
Nb 0.7500 0.7500 0.7500  4 Be 2.52, 4 H 2.52
Nb 0.2500 0.2500 0.2500  4 Be 2.52, 4 H 2.52

[14]
Be2NbH: relaxed, PBE.

Total magnetization = 0.000 μB/cell
ΔE to the lowest computed polymorph = 0.00 kJ per mole of atoms

Cell: 4.7358 4.7358 4.7376 Å, 60.01 60.01 90.00°
Last column: nearest neighbours and their distance in Å.
Atoms (fractional coordinates):
H 0.5000 0.5000 0.0000  4 Be 1.45
H 0.2500 0.7500 0.5000  4 Be 1.45
Be 0.3750 0.6250 0.2500  2 H 1.45
Be 0.3750 0.6250 0.7500  2 H 1.45
Be 0.3750 0.1250 0.2500  2 H 1.45
Be 0.8750 0.6250 0.7500  2 H 1.45
Nb 0.0000 0.0000 0.0000  12 Be 2.78, 4 Nb 2.90, 4 H 2.90
Nb 0.7500 0.2500 0.5000  12 Be 2.78, 4 Nb 2.90, 4 H 2.90

[15]
Be2NbH6: relaxed, PBE.

Total energy = -3.561 eV/atom
Total magnetization = 0.001 μB/cell

Cell: 4.5047 4.5047 4.5047 Å, 60.00 60.00 60.00°
Last column: nearest neighbours and their distance in Å.
Atoms (fractional coordinates):
H 0.2856 0.2856 0.7144  1 Nb 1.82, 4 H 1.93
H 0.7144 0.2856 0.2856  1 Nb 1.82, 4 H 1.93
H 0.7144 0.2856 0.7144  1 Nb 1.82, 4 H 1.93
H 0.7144 0.7144 0.2856  1 Nb 1.82, 4 H 1.93
H 0.2856 0.7144 0.7144  1 Nb 1.82, 4 H 1.93
H 0.2856 0.7144 0.2856  1 Nb 1.82, 4 H 1.93
Nb 0.0000 0.0000 0.0000  6 H 1.82
Be 0.7500 0.7500 0.7500  12 H 2.26
Be 0.2500 0.2500 0.2500  12 H 2.26

[16]
BeNbH3: relaxed, PBE.

Total magnetization = 0.000 μB/cell
ΔE to the lowest computed polymorph = 0.00 kJ per mole of atoms

Cell: 5.2499 4.8918 5.9038 Å, 102.41 90.00 90.00°
Last column: nearest neighbours and their distance in Å.
Atoms (fractional coordinates):
H 0.1529 0.1103 0.0473  1 Be 1.52
H 0.5169 0.9636 0.1800  2 Be 1.51-1.57
H 0.8469 0.3818 0.8565  3 Nb 1.95-2.08, 2 Be 1.97-2.09
H 0.8471 0.8897 0.9527  1 Be 1.52
H 0.6531 0.3818 0.3565  3 Nb 1.95-2.08, 2 Be 1.97-2.09
H 0.9831 0.9636 0.6800  2 Be 1.51-1.57
H 0.1531 0.6182 0.1435  3 Nb 1.95-2.08, 2 Be 1.97-2.09
H 0.4831 0.0364 0.8200  2 Be 1.51-1.57
H 0.3471 0.1103 0.5473  1 Be 1.52
H 0.6529 0.8897 0.4527  1 Be 1.52
H 0.3469 0.6182 0.6435  3 Nb 1.95-2.08, 2 Be 1.97-2.09
H 0.0169 0.0364 0.3200  2 Be 1.51-1.57
Nb 0.7431 0.6382 0.6474  6 H 1.92-2.08
Nb 0.2569 0.3618 0.3526  6 H 1.92-2.08
Nb 0.7569 0.6382 0.1474  6 H 1.92-2.08
Nb 0.2431 0.3618 0.8526  6 H 1.92-2.08
Be 0.3381 0.8674 0.9785  3 H 1.51-1.57
Be 0.8381 0.1326 0.5215  3 H 1.51-1.57
Be 0.1619 0.8674 0.4785  3 H 1.51-1.57
Be 0.6619 0.1326 0.0215  3 H 1.51-1.57

[17]
BeNbH3: relaxed, PBE.

Total magnetization = 0.000 μB/cell
ΔE to the lowest computed polymorph = 40.48 kJ per mole of atoms

Cell: 3.5400 3.5400 3.5400 Å, 90.00 90.00 90.00°
Last column: nearest neighbours and their distance in Å.
Atoms (fractional coordinates):
H 0.5000 0.0000 0.0000  2 Nb 1.77
H 0.0000 0.5000 0.0000  2 Nb 1.77
H 0.0000 0.0000 0.5000  2 Nb 1.77
Nb 0.0000 0.0000 0.0000  6 H 1.77
Be 0.5000 0.5000 0.5000  12 H 2.50

[18]
BeNb2H: relaxed, PBE.

Total magnetization = 0.000 μB/cell
ΔE to the lowest computed polymorph = 0.00 kJ per mole of atoms

Cell: 5.8527 5.8527 5.0597 Å, 54.66 54.66 90.00°
Last column: nearest neighbours and their distance in Å.
Atoms (fractional coordinates):
H 0.5000 0.5000 0.0000  4 Nb 1.96
H 0.2500 0.7500 0.5000  4 Nb 1.96
Nb 0.3750 0.4399 0.7500  2 H 1.96
Nb 0.8750 0.8101 0.7500  2 H 1.96
Nb 0.1899 0.6250 0.2500  2 H 1.96
Nb 0.5601 0.1250 0.2500  2 H 1.96
Be 0.0000 0.0000 0.0000  4 Nb 2.46
Be 0.7500 0.2500 0.5000  4 Nb 2.46

[19]
Be3NbH: relaxed, PBE.

Total magnetization = 1.829 μB/cell
ΔE to the lowest computed polymorph = 207.27 kJ per mole of atoms

Cell: 4.7101 4.7101 4.7101 Å, 90.00 90.00 90.00°
Last column: nearest neighbours and their distance in Å.
Atoms (fractional coordinates):
Be 0.0000 0.5000 0.0000  2 Nb 2.36
Be 0.0000 0.0000 0.5000  2 Nb 2.36
Be 0.5000 0.0000 0.0000  2 Nb 2.36
H 0.5000 0.5000 0.5000  12 Be 3.33
Nb 0.0000 0.0000 0.0000  6 Be 2.36

[20]
BeNbH3: relaxed, PBE.

Total magnetization = 0.109 μB/cell
ΔE to the lowest computed polymorph = 22.00 kJ per mole of atoms

Cell: 3.2050 3.2050 3.2050 Å, 90.00 90.00 90.00°
Last column: nearest neighbours and their distance in Å.
Atoms (fractional coordinates):
H 0.0000 0.0000 0.5000  2 Be 1.60
H 0.0000 0.5000 0.0000  2 Be 1.60
H 0.5000 0.0000 0.0000  2 Be 1.60
Nb 0.5000 0.5000 0.5000  12 H 2.27
Be 0.0000 0.0000 0.0000  6 H 1.60

[21]
Be3NbH: relaxed, PBE.

Total magnetization = 0.000 μB/cell
ΔE to the lowest computed polymorph = 0.00 kJ per mole of atoms

Cell: 3.5730 3.5730 3.5730 Å, 90.00 90.00 90.00°
Last column: nearest neighbours and their distance in Å.
Atoms (fractional coordinates):
H 0.0000 0.0000 0.0000  6 Be 1.79
Nb 0.5000 0.5000 0.5000  12 Be 2.53
Be 0.0000 0.5000 0.0000  2 H 1.79
Be 0.0000 0.0000 0.5000  2 H 1.79
Be 0.5000 0.0000 0.0000  2 H 1.79

[22]
Be2NbH: relaxed, PBE.

Total magnetization = 0.000 μB/cell
ΔE to the lowest computed polymorph = 79.43 kJ per mole of atoms

Cell: 3.9053 3.9053 3.9053 Å, 60.00 60.00 60.00°
Last column: nearest neighbours and their distance in Å.
Atoms (fractional coordinates):
H 0.0000 0.0000 0.0000  8 Be 2.39
Nb 0.5000 0.5000 0.5000  8 Be 2.39
Be 0.7500 0.7500 0.7500  4 Nb 2.39, 4 H 2.39
Be 0.2500 0.2500 0.2500  4 Nb 2.39, 4 H 2.39

[23]
BeNb2NiH: relaxed, PBE.

Total magnetization = 0.000 μB/cell
ΔE to the lowest computed polymorph = 0.00 kJ per mole of atoms

Cell: 4.0328 3.6501 4.0328 Å, 90.00 90.00 90.00°
Last column: nearest neighbours and their distance in Å.
Atoms (fractional coordinates):
H 0.0000 0.0000 0.0000  2 Ni 1.83, 4 Nb 2.02
Nb 0.0000 0.0000 0.5000  2 H 2.02
Nb 0.5000 0.0000 0.0000  2 H 2.02
Ni 0.0000 0.5000 0.0000  2 H 1.83
Be 0.5000 0.5000 0.5000  8 Nb 2.72, 4 Ni 2.85

[24]
BeNb2NiH: relaxed, PBE.

Total magnetization = 0.001 μB/cell
ΔE to the lowest computed polymorph = 5.23 kJ per mole of atoms

Cell: 4.0288 4.0288 3.6280 Å, 90.00 90.00 90.00°
Last column: nearest neighbours and their distance in Å.
Atoms (fractional coordinates):
Be 0.0000 0.0000 0.5000  2 H 1.81
Ni 0.5000 0.5000 0.5000  8 Nb 2.71, 4 Be 2.85
Nb 0.0000 0.5000 0.0000  2 H 2.01
Nb 0.5000 0.0000 0.0000  2 H 2.01
H 0.0000 0.0000 0.0000  2 Be 1.81, 4 Nb 2.01

[25]
BeNb2HO: relaxed, PBE.

Total energy = -5.851 eV/atom
Total magnetization = 0.000 μB/cell

Cell: 4.6343 2.9742 4.6343 Å, 90.00 90.00 90.00°
Last column: nearest neighbours and their distance in Å.
Atoms (fractional coordinates):
H 0.5000 0.5000 0.5000  8 Nb 2.75, 2 H 2.97
Be 0.0000 0.0000 0.0000  2 O 1.49
Nb 0.0000 0.0000 0.5000  2 Be 2.32
Nb 0.5000 0.0000 0.0000  2 Be 2.32
O 0.0000 0.5000 0.0000  2 Be 1.49

[26]
BeNb2HOs: relaxed, PBE.

Total energy = -7.718 eV/atom
Total magnetization = 0.000 μB/cell

Cell: 4.1405 4.1405 3.6486 Å, 90.00 90.00 90.00°
Last column: nearest neighbours and their distance in Å.
Atoms (fractional coordinates):
Os 0.5000 0.5000 0.5000  8 Nb 2.76, 4 Be 2.93
H 0.0000 0.0000 0.0000  2 Be 1.82
Nb 0.0000 0.5000 0.0000  2 H 2.07
Nb 0.5000 0.0000 0.0000  2 H 2.07
Be 0.0000 0.0000 0.5000  2 H 1.82